[1]
{"formula": "Tb5Sm4Tm4", "functional": "PBE-GGA", "state": "relaxed", "delta_e_f_kcal_per_mol_atoms": 0.4, "dos_at_fermi_per_ev_cell": 17.8, "lattice_angstrom": [[4.8662, 0.0000, 1.2373], [2.4331, 9.0793, 0.6186], [0.1959, 0.0000, 9.4180]], "species": ["Tb", "Tb", "Tb", "Tb", "Tb", "Sm", "Sm", "Sm", "Sm", "Tm", "Tm", "Tm", "Tm"], "frac_coords": [[0.6907, 0.8490, 0.7697], [0.3093, 0.1510, 0.2303], [0.0000, 0.0000, 0.0000], [0.5396, 0.7697, 0.1510], [0.4604, 0.2303, 0.8490], [0.9223, 0.4606, 0.6947], [0.6171, 0.3053, 0.4606], [0.0777, 0.5394, 0.3053], [0.3829, 0.6947, 0.5394], [0.7694, 0.3844, 0.0768], [0.2306, 0.6156, 0.9232], [0.8462, 0.9232, 0.3844], [0.1538, 0.0768, 0.6156]]}

[2]
{"formula": "Tb4SmTm3", "functional": "PBE-GGA", "state": "relaxed", "delta_e_f_kcal_per_mol_atoms": 0.2, "polymorph_energy_ev_per_atom": 0.0000, "dos_at_fermi_per_ev_cell": 26.3, "lattice_angstrom": [[6.2611, 0.0000, 0.0000], [0.0000, 7.2463, 0.0000], [0.0000, 0.0000, 11.2359]], "species": ["Tb", "Tb", "Tb", "Tb", "Tb", "Tb", "Tb", "Tb", "Sm", "Sm", "Tm", "Tm", "Tm", "Tm", "Tm", "Tm"], "frac_coords": [[0.1457, 0.8735, 0.0000], [0.6492, 0.1263, 0.0000], [0.9812, 0.1257, 0.2520], [0.4812, 0.8743, 0.2480], [0.1492, 0.8737, 0.5000], [0.6457, 0.1265, 0.5000], [0.4812, 0.8743, 0.7520], [0.9812, 0.1257, 0.7480], [0.1480, 0.3756, 0.0000], [0.6480, 0.6244, 0.5000], [0.6483, 0.6237, 0.0000], [0.9808, 0.6240, 0.2501], [0.4808, 0.3760, 0.2499], [0.1483, 0.3763, 0.5000], [0.4808, 0.3760, 0.7501], [0.9808, 0.6240, 0.7499]]}